This record from Alexandria describes crystalline TaCd3Tc at its relaxed geometry. The functional is GGA-PBE.

Calculated values
**Volume**: 151.44 Å³ per cell
**Energy above the lowest structure with this stoichiometry**: 173 meV/atom
**Total magnetic moment**: 1.95 μB per formula unit
**Energy of formation**: 1852 meV per atom
**SG**: Pm-3m (221)

a = 5.330 Å, b = 5.330 Å, c = 5.330 Å
α = 90.00°, β = 90.00°, γ = 90.00°
Last column: magnetic moment on the atom in μB.
Atoms (fractional coordinates):
Cd  0.000  0.000  0.500  -0.06
Ta  0.000  0.000  0.000  -1.08
Cd  0.500  0.000  0.000  -0.08
Tc  0.500  0.500  0.500  3.56
Cd  0.000  0.500  0.000  -0.09